## CaMnNiF6 (PBE with a Hubbard U)

Data for a relaxed structure of CaMnNiF6.

Properties
space-group type = P4_2nm (102)
calculated total energy = -0.4042 Ry/atom
crystal system = tetragonal

POSCAR file:
```
CaMnNiF6
1.0
4.975 0.000 0.000
0.000 4.975 0.000
0.000 0.000 9.998
Ca Mn Ni F
2 2 2 12
direct
0.000 0.000 0.000
0.500 0.500 0.500
0.000 0.000 0.668
0.500 0.500 0.168
0.000 0.000 0.333
0.500 0.500 0.833
0.182 0.182 0.493
0.196 0.196 0.181
0.210 0.210 0.827
0.290 0.710 0.327
0.304 0.696 0.681
0.318 0.682 0.993
0.682 0.318 0.993
0.696 0.304 0.681
0.710 0.290 0.327
0.790 0.790 0.827
0.804 0.804 0.181
0.818 0.818 0.493
```